Entry from the Alexandria database: crystalline SmGdMgPt at its relaxed geometry (PBE-GGA).

Calculated values
Energy relative to the elements: -212 kJ/mol of formula units

Geometry as extended XYZ:
```
4
Lattice="0.0000 3.6510 3.6510 3.6510 0.0000 3.6510 3.6510 3.6510 0.0000" Properties=species:S:1:pos:R:3 pbc="T T T"
Sm 0.0000 0.0000 0.0000
Gd 3.6510 3.6510 3.6510
Mg 1.8255 1.8255 1.8255
Pt 5.4765 5.4765 5.4765
```